1.
The following is a DFT calculation (GGA-PBE) of a relaxed ZrIn2Rh crystal.

Results
The space group is No. 12.

```
4
Lattice="5.794 0.009 0.029 4.875 3.132 0.029 2.190 0.645 4.493" Properties=species:S:1:pos:R:3 pbc="T T T"
Zr 9.644 2.839 3.414
In 10.467 3.082 0.165
In 6.631 1.952 2.169
Rh 3.215 0.946 1.138
```


2.
The following is a DFT calculation (GGA-PBE) of a relaxed Zr2InRh crystal.

Results
The space group is No. 44.

```
4
Lattice="-5.606 -1.513 0.458 -3.941 -3.184 2.874 -2.413 2.416 3.333" Properties=species:S:1:pos:R:3 pbc="T T T"
Zr -9.353 -4.503 3.333
Zr -8.939 -1.680 4.999
In -6.179 -1.338 3.333
Rh -3.016 -0.598 1.665
```


3.
The following is a DFT calculation (GGA-PBE) of a relaxed ZrInRh crystal.

Results
The space group is No. 156.

```
3
Lattice="3.273 0.000 0.000 -1.637 2.835 0.000 0.000 0.000 6.598" Properties=species:S:1:pos:R:3 pbc="T T T"
In 0.000 0.000 0.129
Rh 1.637 0.945 2.296
Zr 0.000 1.890 4.174
```


no.,uncorrected energy (eV/atom),total moment (μB per cell)
1,-5.593,0.00
2,-7.212,0.00
3,-6.489,0.00